[1]
Entry from Alexandria via LeMat-Bulk: BeAg2H after structural relaxation (PBE).

a b c (Å): 6.0019 6.0019 5.0497
angles (deg): 53.54 53.54 90.00
Closest atoms and distances in Å follow each position.
Atoms (fractional coordinates):
H  0.2500  0.7500  0.5000  4 Ag 2.00
Be  0.7500  0.2500  0.5000  8 Ag 2.50-2.78, 2 H 2.74
Ag  0.1875  0.6250  0.2500  2 H 2.00
Be  0.0000  0.0000  0.0000  8 Ag 2.50-2.78, 2 H 2.74
Ag  0.5625  0.1250  0.2500  2 H 2.00
Ag  0.3750  0.4375  0.7500  2 H 2.00
H  0.5000  0.5000  0.0000  4 Ag 2.00
Ag  0.8750  0.8125  0.7500  2 H 2.00

Computed properties:
Raw total energy, eV per atom: -2.7507

[2]
Entry from Alexandria via LeMat-Bulk: LiPm5Rh4 after structural relaxation (PBE).

a b c (Å): 3.5549 3.5549 18.2144
angles (deg): 90.00 90.00 90.00
Closest atoms and distances in Å follow each position.
Atoms (fractional coordinates):
Pm  0.5000  0.5000  0.6905  8 Rh 3.04-3.12
Rh  0.0000  0.0000  0.4037  8 Pm 3.04-3.06
Pm  0.5000  0.5000  0.8783  4 Rh 2.97
Rh  0.0000  0.0000  0.5963  8 Pm 3.04-3.06
Pm  0.5000  0.5000  0.1217  4 Rh 2.97
Pm  0.5000  0.5000  0.3095  8 Rh 3.04-3.12
Rh  0.0000  0.0000  0.7916  8 Pm 2.97-3.12
Rh  0.0000  0.0000  0.2084  8 Pm 2.97-3.12
Li  0.0000  0.0000  0.0000  8 Pm 3.35, 4 Li 3.55
Pm  0.5000  0.5000  0.5000  8 Rh 3.06

Computed properties:
Raw total energy, eV per atom: -6.0555

[3]
Entry from Alexandria via LeMat-Bulk: MnMo2Ru after structural relaxation (PBE).

a b c (Å): 2.6881 2.6881 8.4102
angles (deg): 90.00 90.00 108.01
Closest atoms and distances in Å follow each position.
Atoms (fractional coordinates):
Mn  0.5000  0.5000  0.7500  4 Mo 2.57, 4 Mn 2.69
Mo  0.0000  0.0000  0.5095  2 Mn 2.57, 4 Mo 2.69, 2 Ru 2.69
Mo  0.0000  0.0000  0.9905  2 Mn 2.57, 4 Mo 2.69, 2 Ru 2.69
Ru  0.5000  0.5000  0.2500  4 Ru 2.69, 4 Mo 2.69

Computed properties:
Raw total energy, eV per atom: -9.8505

[4]
Entry from Alexandria via LeMat-Bulk: Ba2WCl after structural relaxation (PBE).

a b c (Å): 5.9301 5.9301 3.3637
angles (deg): 89.96 89.96 90.00
Closest atoms and distances in Å follow each position.
Atoms (fractional coordinates):
Ba  0.0000  0.0000  0.0000  2 Ba 3.36, 4 Cl 3.41, 4 W 3.41
Ba  0.5000  0.5000  0.0000  2 Ba 3.36, 4 W 3.41, 4 Cl 3.41
W  0.0000  0.5000  0.5000  2 W 3.36, 8 Ba 3.41
Cl  0.5000  0.0000  0.5000  2 Cl 3.36, 8 Ba 3.41

Computed properties:
Raw formation energy, eV/f.u.: 0.94

[5]
Entry from Alexandria via LeMat-Bulk: TlCu2F7 after structural relaxation (PBE).

a b c (Å): 3.6520 6.1331 6.1331
angles (deg): 105.86 90.00 90.00
Closest atoms and distances in Å follow each position.
Atoms (fractional coordinates):
F  0.5000  0.2931  0.0357  1 Cu 2.12
F  0.5000  0.9643  0.7069  1 Cu 2.12
F  0.5000  0.5000  0.5000  2 Cu 1.89
F  0.5000  0.7069  0.9643  1 Cu 2.12
F  0.0000  0.2929  0.7071  2 Cu 1.83
Cu  0.5000  0.3066  0.6934  3 F 1.83-1.89
F  0.5000  0.0357  0.2931  1 Cu 2.12
F  0.0000  0.7071  0.2929  2 Cu 1.83
Cu  0.5000  0.6934  0.3066  3 F 1.83-1.89
Tl  0.0000  0.0000  0.0000  8 F 2.53

Computed properties:
Raw formation energy, eV/f.u.: -14.24

[6]
Entry from Alexandria via LeMat-Bulk: Th6SiAs3Se2 after structural relaxation (PBE).

a b c (Å): 4.2556 8.4636 9.4824
angles (deg): 102.90 102.97 90.00
Closest atoms and distances in Å follow each position.
Atoms (fractional coordinates):
Se  0.1671  0.3332  0.3342  6 Th 3.02-3.03
Th  0.6640  0.0771  0.3279  1 Si 2.95, 3 As 2.98-3.02, 2 Se 3.03
As  0.1680  0.8321  0.3361  6 Th 2.97-3.02
Th  0.6646  0.5857  0.3292  3 As 2.96-2.97, 3 Se 3.02-3.03
As  0.5000  0.5000  0.0000  6 Th 2.96-3.03
Th  0.3360  0.9229  0.6721  1 Si 2.95, 3 As 2.98-3.02, 2 Se 3.03
As  0.8320  0.1679  0.6639  6 Th 2.97-3.02
Th  0.0013  0.7561  0.0027  2 Si 2.97, 3 As 3.00-3.03, 1 Se 3.03
Si  0.5000  0.0000  0.0000  6 Th 2.95-2.97
Th  0.3354  0.4143  0.6708  3 As 2.96-2.97, 3 Se 3.02-3.03
Se  0.8329  0.6668  0.6658  6 Th 3.02-3.03
Th  0.9987  0.2439  0.9973  2 Si 2.97, 3 As 3.00-3.03, 1 Se 3.03

Computed properties:
Raw formation energy, eV/f.u.: -16.23